# 1
# Pm4GdTm GGA-PBE relaxed
data_Pm4GdTm
_cell_length_a 9.4145
_cell_length_b 9.4145
_cell_length_c 9.4145
_cell_angle_alpha 90.00
_cell_angle_beta 90.00
_cell_angle_gamma 90.00
_symmetry_space_group_name_H-M 'F -4 3 m'
_symmetry_Int_Tables_number 216
_symmetry_space_group_name_Hall 'F -4 2 3'
loop_
_atom_site_label
_atom_site_type_symbol
_atom_site_fract_x
_atom_site_fract_y
_atom_site_fract_z
Pm1 Pm 0.1243 0.1243 0.1243
Gd1 Gd 0.0000 0.0000 0.5000
Tm1 Tm 0.2500 0.2500 0.7500
# - energy of formation from the pure elements (kJ/mol of formula units) = 143.9

=====

# 2
# Tb2DyAu GGA-PBE relaxed
data_Tb2DyAu
_cell_length_a 4.9448
_cell_length_b 11.9163
_cell_length_c 7.8105
_cell_angle_alpha 90.00
_cell_angle_beta 90.00
_cell_angle_gamma 90.00
_symmetry_space_group_name_H-M 'C m c m'
_symmetry_Int_Tables_number 63
_symmetry_space_group_name_Hall '-C 2c 2'
loop_
_atom_site_label
_atom_site_type_symbol
_atom_site_fract_x
_atom_site_fract_y
_atom_site_fract_z
Tb1 Tb 0.0000 0.1429 0.0343
Dy1 Dy 0.0000 0.4575 0.2500
Au1 Au 0.0000 0.2971 0.7500
# - offset from the most stable computed form (meV per atom) = 47
# - energy of formation from the pure elements (kJ/mol of formula units) = -151.7

=====

# 3
# PmTe2Pb GGA-PBE relaxed
data_PmTe2Pb
_cell_length_a 4.4675
_cell_length_b 4.4675
_cell_length_c 23.5316
_cell_angle_alpha 90.00
_cell_angle_beta 90.00
_cell_angle_gamma 120.00
_symmetry_space_group_name_H-M 'P -3 m 1'
_symmetry_Int_Tables_number 164
_symmetry_space_group_name_Hall '-P 3 2"'
loop_
_atom_site_label
_atom_site_type_symbol
_atom_site_fract_x
_atom_site_fract_y
_atom_site_fract_z
Pm1 Pm 0.0000 0.0000 0.0000
Pm2 Pm 0.3333 0.6667 0.1528
Te1 Te 0.0000 0.0000 0.2326
Te2 Te 0.3333 0.6667 0.4110
Te3 Te 0.3333 0.6667 0.9228
Pb1 Pb 0.0000 0.0000 0.5000
Pb2 Pb 0.3333 0.6667 0.6699
# - uncorrected formation energy (eV/atom) = -0.892

=====

# 4
# BaInW3 GGA-PBE relaxed
data_BaInW3
_cell_length_a 5.0471
_cell_length_b 5.0471
_cell_length_c 5.0471
_cell_angle_alpha 90.00
_cell_angle_beta 90.00
_cell_angle_gamma 90.00
_symmetry_space_group_name_H-M 'P m -3 m'
_symmetry_Int_Tables_number 221
_symmetry_space_group_name_Hall '-P 4 2 3'
loop_
_atom_site_label
_atom_site_type_symbol
_atom_site_fract_x
_atom_site_fract_y
_atom_site_fract_z
Ba1 Ba 0.0000 0.0000 0.0000
In1 In 0.5000 0.5000 0.5000
W1 W 0.0000 0.0000 0.5000
# - offset from the most stable computed form (meV per atom) = 1047
# - energy of formation from the pure elements (kJ/mol of formula units) = 1756.7

=====

# 5
# AcPrPdBr GGA-PBE relaxed
data_AcPrPdBr
_cell_length_a 4.3155
_cell_length_b 4.3155
_cell_length_c 24.3637
_cell_angle_alpha 90.00
_cell_angle_beta 90.00
_cell_angle_gamma 120.00
_symmetry_space_group_name_H-M 'R 3 m'
_symmetry_Int_Tables_number 160
_symmetry_space_group_name_Hall 'R 3 -2"'
loop_
_atom_site_label
_atom_site_type_symbol
_atom_site_fract_x
_atom_site_fract_y
_atom_site_fract_z
Ac1 Ac 0.0000 0.0000 0.0000
Pr1 Pr 0.0000 0.0000 0.8001
Pd1 Pd 0.0000 0.0000 0.4031
Br1 Br 0.0000 0.0000 0.2279
# - uncorrected formation energy (eV/atom) = -1.019

=====

# 6
# Sm3Y6Tm2Sc GGA-PBE relaxed
data_Sm3Y6Tm2Sc
_cell_length_a 6.1541
_cell_length_b 10.6520
_cell_length_c 11.7365
_cell_angle_alpha 90.00
_cell_angle_beta 100.05
_cell_angle_gamma 90.00
_symmetry_space_group_name_H-M 'C 1 2/m 1'
_symmetry_Int_Tables_number 12
_symmetry_space_group_name_Hall '-C 2y'
loop_
_atom_site_label
_atom_site_type_symbol
_atom_site_fract_x
_atom_site_fract_y
_atom_site_fract_z
Sm1 Sm 0.0000 0.0000 0.0000
Sm2 Sm 0.0000 0.3334 0.0000
Y1 Y 0.2466 0.3344 0.7442
Y2 Y 0.2499 0.0000 0.7444
Tm1 Tm 0.0000 0.1665 0.5000
Sc1 Sc 0.0000 0.5000 0.5000
# - energy of formation from the pure elements (kJ/mol of formula units) = 38.9

=====

# 7
# Ba3RhF GGA-PBE relaxed
data_Ba3RhF
_cell_length_a 5.4091
_cell_length_b 5.4091
_cell_length_c 5.4091
_cell_angle_alpha 90.00
_cell_angle_beta 90.00
_cell_angle_gamma 90.00
_symmetry_space_group_name_H-M 'P m -3 m'
_symmetry_Int_Tables_number 221
_symmetry_space_group_name_Hall '-P 4 2 3'
loop_
_atom_site_label
_atom_site_type_symbol
_atom_site_fract_x
_atom_site_fract_y
_atom_site_fract_z
Ba1 Ba 0.0000 0.0000 0.5000
Rh1 Rh 0.5000 0.5000 0.5000
F1 F 0.0000 0.0000 0.0000
# - offset from the most stable computed form (meV per atom) = 0
# - uncorrected formation energy (eV/atom) = -0.880

=====

# 8
# Hg2AsW GGA-PBE relaxed
data_Hg2AsW
_cell_length_a 2.9441
_cell_length_b 5.5186
_cell_length_c 5.0928
_cell_angle_alpha 90.00
_cell_angle_beta 97.36
_cell_angle_gamma 90.00
_symmetry_space_group_name_H-M 'P 1 2/m 1'
_symmetry_Int_Tables_number 10
_symmetry_space_group_name_Hall '-P 2y'
loop_
_atom_site_label
_atom_site_type_symbol
_atom_site_fract_x
_atom_site_fract_y
_atom_site_fract_z
Hg1 Hg 0.2401 0.0000 0.2538
As1 As 0.5000 0.5000 0.0000
W1 W 0.5000 0.5000 0.5000
# - energy of formation from the pure elements (kJ/mol of formula units) = 288.0

=====

# 9
# KTe3O6F GGA-PBE relaxed
data_KTe3O6F
_cell_length_a 9.6152
_cell_length_b 9.6152
_cell_length_c 14.3630
_cell_angle_alpha 90.00
_cell_angle_beta 90.00
_cell_angle_gamma 120.00
_symmetry_space_group_name_H-M 'R -3'
_symmetry_Int_Tables_number 148
_symmetry_space_group_name_Hall '-R 3'
loop_
_atom_site_label
_atom_site_type_symbol
_atom_site_fract_x
_atom_site_fract_y
_atom_site_fract_z
K1 K 0.0000 0.0000 0.1551
Te1 Te 0.0170 0.7517 0.6304
O1 O 0.0348 0.5596 0.6219
O2 O 0.0364 0.4666 0.9197
F1 F 0.0000 0.0000 0.3496
# - uncorrected formation energy (eV/atom) = -1.357

=====

# 10
# InSb2Se GGA-PBE relaxed
data_InSb2Se
_cell_length_a 4.1778
_cell_length_b 7.4972
_cell_length_c 9.2677
_cell_angle_alpha 85.09
_cell_angle_beta 76.99
_cell_angle_gamma 88.14
_symmetry_space_group_name_H-M 'P 1'
_symmetry_Int_Tables_number 1
_symmetry_space_group_name_Hall 'P 1'
loop_
_atom_site_label
_atom_site_type_symbol
_atom_site_fract_x
_atom_site_fract_y
_atom_site_fract_z
In1 In 0.0000 0.0000 0.0000
In2 In 0.3643 0.2602 0.2386
Sb1 Sb 0.1409 0.7972 0.7423
Sb2 Sb 0.2246 0.4685 0.4935
Sb3 Sb 0.6403 0.3055 0.6803
Sb4 Sb 0.7236 0.9647 0.5581
Se1 Se 0.4150 0.9090 0.1814
Se2 Se 0.9498 0.3510 0.0568
# - offset from the most stable computed form (meV per atom) = 0
# - uncorrected formation energy (eV/atom) = -0.197

=====

Number 1: final energy -6.01 eV per atom. Number 2: final energy -4.68 eV per atom. Number 3: final energy -4.58 eV per atom. Number 4: final energy -5.06 eV per atom. Number 5: final energy -4.96 eV per atom. Number 6: final energy -5.65 eV per atom. Number 7: final energy -3.88 eV per atom. Number 8: final energy -3.81 eV per atom. Number 9: final energy -5.19 eV per atom. Number 10: final energy -3.81 eV per atom.